Record 1
First-principles (PBE) data for crystalline Pr4GeSe2I at its relaxed geometry, as listed in Alexandria.

Values from the calculation:
SG = P2/m (10)
Crystal system = monoclinic
E_tot = -5.436 eV/atom

Lattice parameters (Å, degrees): 7.4487 4.3296 7.7612 90.00 108.91 90.00
Sites, in units of the cell vectors:
Pr 0.2298 0.0000 0.2141
Pr 0.2490 0.5000 0.7737
Pr 0.7510 0.5000 0.2263
Pr 0.7702 0.0000 0.7859
Ge 0.5000 0.0000 0.0000
Se 0.0000 0.0000 0.5000
Se 0.0000 0.5000 0.0000
I 0.5000 0.5000 0.5000

=====

Record 2
First-principles (PBE) data for crystalline Pr4GeSeI2 at its relaxed geometry, as listed in Alexandria.

Values from the calculation:
SG = P2/m (10)
Crystal system = monoclinic
E_tot = -5.016 eV/atom

Lattice parameters (Å, degrees): 7.5129 4.3986 8.1308 90.00 108.39 90.00
Sites, in units of the cell vectors:
Pr 0.2299 0.0000 0.1969
Pr 0.2660 0.5000 0.8049
Pr 0.7340 0.5000 0.1951
Pr 0.7701 0.0000 0.8031
Ge 0.0000 0.5000 0.0000
Se 0.5000 0.0000 0.0000
I 0.0000 0.0000 0.5000
I 0.5000 0.5000 0.5000

=====

Record 3
First-principles (PBE) data for crystalline Pr6SiGe2I3 at its relaxed geometry, as listed in Alexandria.

Values from the calculation:
SG = C2/m (12)
Crystal system = monoclinic
E_tot = -5.008 eV/atom

Lattice parameters (Å, degrees): 10.2571 10.2571 9.2620 107.43 107.43 24.69
Sites, in units of the cell vectors:
Pr 0.0100 0.0100 0.2188
Pr 0.3226 0.3226 0.4456
Pr 0.3461 0.3461 0.8927
Pr 0.6539 0.6539 0.1073
Pr 0.6774 0.6774 0.5544
Pr 0.9900 0.9900 0.7812
Si 0.5000 0.5000 0.0000
Ge 0.1668 0.1668 0.3324
Ge 0.8332 0.8332 0.6676
I 0.1671 0.1671 0.8329
I 0.5000 0.5000 0.5000
I 0.8329 0.8329 0.1671